Compound: VRh2O5
Source: Alexandria via LeMat-Bulk
Functional: PBE with a Hubbard U
Structure: relaxed

```
data_VRh2O5
_chemical_formula_sum 'V4 Rh8 O20'
_space_group_name_H-M_alt 'C m c m'
_space_group_IT_number 63
_space_group_name_Hall '-C 2c 2'
_cell_length_a 3.968
_cell_length_b 9.878
_cell_length_c 9.898
_cell_angle_alpha 90.00
_cell_angle_beta 90.00
_cell_angle_gamma 90.00
loop_
_atom_site_label
_atom_site_fract_x
_atom_site_fract_y
_atom_site_fract_z
V1 0.000 0.187 0.250
Rh1 0.000 0.143 0.560
O1 0.000 0.054 0.119
O2 0.000 0.251 0.750
O3 0.000 0.312 0.067
```

Results
The total energy is -6.928 eV/atom. The value obtained for the density of states at the Fermi level is 0.03 states/eV/f.u.